No. 1
## Al2ReWC (PBEsol)

Data for a relaxed Al2ReWC crystal.

Cell lengths 4.742, 4.742, 3.797 Å; angles 90.00, 90.00, 90.00 degrees
Positions (direct):
Al (0.000, 0.500, 0.000)
Al (0.500, 0.000, 0.000)
Re (0.000, 0.000, 0.000)
W (0.500, 0.500, 0.500)
C (0.000, 0.000, 0.500)

Output
Formation energy from the elements: 1.64 eV/atom
Crystal system: tetragonal
Total magnetization: 1.00 μB/cell
Space group: P4/mmm
N(E_F): 4.03 states/eV/f.u.

---

No. 2
## GaBiF2 (PBEsol)

Data for a relaxed GaBiF2 crystal.

Cell lengths 7.937, 7.937, 7.937 Å; angles 25.18, 25.18, 25.18 degrees
Positions (direct):
Ga (0.000, 0.000, 0.000)
Bi (0.500, 0.500, 0.500)
F (0.400, 0.400, 0.400)
F (0.600, 0.600, 0.600)

Output
Energy relative to the elements, uncorrected: -1391 meV per atom
Crystal system: trigonal
Total magnetization: 0.00 μB/cell
Space group: R-3m
N(E_F): 0.87 states/eV/f.u.

---

No. 3
## Cu7PS6 (PBEsol)

Data for a relaxed Cu7PS6 crystal.

Cell lengths 9.468, 9.468, 9.468 Å; angles 90.00, 90.00, 90.00 degrees
Positions (direct):
Cu (0.000, 0.018, 0.779)
Cu (0.000, 0.518, 0.721)
Cu (0.018, 0.779, 0.000)
Cu (0.073, 0.405, 0.265)
Cu (0.095, 0.735, 0.573)
Cu (0.148, 0.148, 0.148)
Cu (0.221, 0.500, 0.482)
Cu (0.235, 0.927, 0.905)
Cu (0.265, 0.073, 0.405)
Cu (0.279, 0.500, 0.982)
Cu (0.352, 0.852, 0.648)
Cu (0.405, 0.265, 0.073)
Cu (0.427, 0.595, 0.765)
Cu (0.482, 0.221, 0.500)
Cu (0.500, 0.482, 0.221)
Cu (0.500, 0.982, 0.279)
Cu (0.518, 0.721, 0.000)
Cu (0.573, 0.095, 0.735)
Cu (0.595, 0.765, 0.427)
Cu (0.648, 0.352, 0.852)
Cu (0.721, 0.000, 0.518)
Cu (0.735, 0.573, 0.095)
Cu (0.765, 0.427, 0.595)
Cu (0.779, 0.000, 0.018)
Cu (0.852, 0.648, 0.352)
Cu (0.905, 0.235, 0.927)
Cu (0.927, 0.905, 0.235)
Cu (0.982, 0.279, 0.500)
P (0.245, 0.255, 0.745)
P (0.255, 0.745, 0.245)
P (0.745, 0.245, 0.255)
P (0.755, 0.755, 0.755)
S (0.016, 0.016, 0.016)
S (0.110, 0.371, 0.869)
S (0.129, 0.131, 0.610)
S (0.129, 0.871, 0.371)
S (0.131, 0.610, 0.129)
S (0.222, 0.722, 0.778)
S (0.278, 0.278, 0.278)
S (0.369, 0.390, 0.629)
S (0.371, 0.129, 0.871)
S (0.371, 0.869, 0.110)
S (0.390, 0.629, 0.369)
S (0.484, 0.984, 0.516)
S (0.516, 0.484, 0.984)
S (0.610, 0.129, 0.131)
S (0.629, 0.369, 0.390)
S (0.629, 0.629, 0.629)
S (0.631, 0.890, 0.871)
S (0.722, 0.778, 0.222)
S (0.778, 0.222, 0.722)
S (0.869, 0.110, 0.371)
S (0.871, 0.371, 0.129)
S (0.871, 0.631, 0.890)
S (0.890, 0.871, 0.631)
S (0.984, 0.516, 0.484)

Output
Energy relative to the elements, uncorrected: -206 meV per atom
Crystal system: cubic
Total magnetization: 0.00 μB/cell
Space group: P2_13

---

No. 4
## KAlZn2 (PBEsol)

Data for a relaxed KAlZn2 crystal.

Cell lengths 4.954, 4.954, 3.484 Å; angles 90.00, 90.00, 90.00 degrees
Positions (direct):
K (0.000, 0.000, 0.000)
Al (0.500, 0.500, 0.000)
Zn (0.000, 0.500, 0.500)
Zn (0.500, 0.000, 0.500)

Output
Formation energy from the elements: 0.43 eV/atom
Crystal system: tetragonal
Total magnetization: 0.00 μB/cell
Space group: P4/mmm
N(E_F): 1.77 states/eV/f.u.

---

No. 5
## SrY2Cd (PBEsol)

Data for a relaxed SrY2Cd crystal.

Cell lengths 11.303, 11.303, 11.303 Å; angles 18.72, 18.72, 18.72 degrees
Positions (direct):
Sr (0.000, 0.000, 0.000)
Y (0.236, 0.236, 0.236)
Y (0.764, 0.764, 0.764)
Cd (0.500, 0.500, 0.500)

Output
Formation energy from the elements: 0.04 eV/atom
Crystal system: trigonal
Total magnetization: 0.00 μB/cell
Space group: R-3m
N(E_F): 5.34 states/eV/f.u.

---

No. 6
## NiC3Cl (PBEsol)

Data for a relaxed NiC3Cl crystal.

Cell lengths 3.795, 3.795, 3.795 Å; angles 90.00, 90.00, 90.00 degrees
Positions (direct):
Ni (0.000, 0.000, 0.000)
C (0.000, 0.000, 0.500)
C (0.000, 0.500, 0.000)
C (0.500, 0.000, 0.000)
Cl (0.500, 0.500, 0.500)

Output
Energy relative to the elements, uncorrected: 2530 meV per atom
Crystal system: cubic
Total magnetization: 0.00 μB/cell
Space group: Pm-3m
ΔE to the lowest computed polymorph: 0 meV per atom
N(E_F): 4.42 states/eV/f.u.

---

No. 7
## Zr3Zn (PBEsol)

Data for a relaxed Zr3Zn crystal.

Cell lengths 3.198, 3.198, 7.875 Å; angles 90.00, 90.00, 90.00 degrees
Positions (direct):
Zr (0.000, 0.000, 0.000)
Zr (0.500, 0.500, 0.274)
Zr (0.500, 0.500, 0.726)
Zn (0.000, 0.000, 0.500)

Output
Formation energy from the elements: -0.12 eV/atom
Crystal system: tetragonal
Total magnetization: 0.00 μB/cell
Space group: P4/mmm
N(E_F): 3.95 states/eV/f.u.

---

No. 8
## CaSiP2 (PBEsol)

Data for a relaxed CaSiP2 crystal.

Cell lengths 6.046, 6.046, 6.046 Å; angles 113.83, 113.83, 101.07 degrees
Positions (direct):
Ca (0.000, 0.000, 0.000)
Ca (0.750, 0.250, 0.500)
Si (0.250, 0.750, 0.500)
Si (0.500, 0.500, 0.000)
P (0.200, 0.125, 0.575)
P (0.375, 0.800, 0.925)
P (0.550, 0.625, 0.425)
P (0.875, 0.450, 0.075)

Output
Energy relative to the elements, uncorrected: -673 meV per atom
Crystal system: tetragonal
Total magnetization: 0.00 μB/cell
Space group: I-42d

---

No. 9
## YMo3 (PBEsol)

Data for a relaxed YMo3 crystal.

Cell lengths 4.740, 4.740, 4.740 Å; angles 90.00, 90.00, 90.00 degrees
Positions (direct):
Y (0.000, 0.000, 0.000)
Mo (0.000, 0.000, 0.500)
Mo (0.000, 0.500, 0.000)
Mo (0.500, 0.000, 0.000)

Output
Formation energy from the elements: 3.74 eV/atom
Crystal system: cubic
Total magnetization: 0.00 μB/cell
Space group: Pm-3m
N(E_F): 5.89 states/eV/f.u.

---

No. 10
## LiY3Hg (PBEsol)

Data for a relaxed LiY3Hg crystal.

Cell lengths 5.151, 5.151, 5.151 Å; angles 90.00, 90.00, 90.00 degrees
Positions (direct):
Li (0.000, 0.000, 0.000)
Y (0.000, 0.000, 0.500)
Y (0.000, 0.500, 0.000)
Y (0.500, 0.000, 0.000)
Hg (0.500, 0.500, 0.500)

Output
Formation energy from the elements: 0.43 eV/atom
Crystal system: cubic
Total magnetization: 2.52 μB/cell
Space group: Pm-3m
N(E_F): 8.06 states/eV/f.u.

---

No. 11
## BaCd2Hg (PBEsol)

Data for a relaxed BaCd2Hg crystal.

Cell lengths 6.580, 6.580, 3.523 Å; angles 102.88, 102.88, 121.37 degrees
Positions (direct):
Ba (0.000, 0.000, 0.000)
Cd (0.000, 0.500, 0.500)
Cd (0.500, 0.000, 0.500)
Hg (0.500, 0.500, 0.000)

Output
Formation energy from the elements: -0.05 eV/atom
Crystal system: monoclinic
Total magnetization: 0.00 μB/cell
Space group: C2/m
N(E_F): 2.52 states/eV/f.u.

---

No. 12
## MnIn2Br (PBEsol)

Data for a relaxed MnIn2Br crystal.

Cell lengths 3.246, 5.228, 5.475 Å; angles 90.00, 90.00, 90.00 degrees
Positions (direct):
Mn (0.000, 0.000, 0.000)
In (0.000, 0.500, 0.500)
In (0.500, 0.500, 0.000)
Br (0.500, 0.000, 0.500)

Output
Energy relative to the elements, uncorrected: 243 meV per atom
Crystal system: orthorhombic
Total magnetization: 4.44 μB/cell
Space group: Pmmm
ΔE to the lowest computed polymorph: 178 meV per atom
N(E_F): 1.72 states/eV/f.u.

---

Repeat the seventh record exactly.
## Zr3Zn (PBEsol)

Data for a relaxed Zr3Zn crystal.

Cell lengths 3.198, 3.198, 7.875 Å; angles 90.00, 90.00, 90.00 degrees
Positions (direct):
Zr (0.000, 0.000, 0.000)
Zr (0.500, 0.500, 0.274)
Zr (0.500, 0.500, 0.726)
Zn (0.000, 0.000, 0.500)

Output
Formation energy from the elements: -0.12 eV/atom
Crystal system: tetragonal
Total magnetization: 0.00 μB/cell
Space group: P4/mmm
N(E_F): 3.95 states/eV/f.u.

---

What did the third record say?
## Cu7PS6 (PBEsol)

Data for a relaxed Cu7PS6 crystal.

Cell lengths 9.468, 9.468, 9.468 Å; angles 90.00, 90.00, 90.00 degrees
Positions (direct):
Cu (0.000, 0.018, 0.779)
Cu (0.000, 0.518, 0.721)
Cu (0.018, 0.779, 0.000)
Cu (0.073, 0.405, 0.265)
Cu (0.095, 0.735, 0.573)
Cu (0.148, 0.148, 0.148)
Cu (0.221, 0.500, 0.482)
Cu (0.235, 0.927, 0.905)
Cu (0.265, 0.073, 0.405)
Cu (0.279, 0.500, 0.982)
Cu (0.352, 0.852, 0.648)
Cu (0.405, 0.265, 0.073)
Cu (0.427, 0.595, 0.765)
Cu (0.482, 0.221, 0.500)
Cu (0.500, 0.482, 0.221)
Cu (0.500, 0.982, 0.279)
Cu (0.518, 0.721, 0.000)
Cu (0.573, 0.095, 0.735)
Cu (0.595, 0.765, 0.427)
Cu (0.648, 0.352, 0.852)
Cu (0.721, 0.000, 0.518)
Cu (0.735, 0.573, 0.095)
Cu (0.765, 0.427, 0.595)
Cu (0.779, 0.000, 0.018)
Cu (0.852, 0.648, 0.352)
Cu (0.905, 0.235, 0.927)
Cu (0.927, 0.905, 0.235)
Cu (0.982, 0.279, 0.500)
P (0.245, 0.255, 0.745)
P (0.255, 0.745, 0.245)
P (0.745, 0.245, 0.255)
P (0.755, 0.755, 0.755)
S (0.016, 0.016, 0.016)
S (0.110, 0.371, 0.869)
S (0.129, 0.131, 0.610)
S (0.129, 0.871, 0.371)
S (0.131, 0.610, 0.129)
S (0.222, 0.722, 0.778)
S (0.278, 0.278, 0.278)
S (0.369, 0.390, 0.629)
S (0.371, 0.129, 0.871)
S (0.371, 0.869, 0.110)
S (0.390, 0.629, 0.369)
S (0.484, 0.984, 0.516)
S (0.516, 0.484, 0.984)
S (0.610, 0.129, 0.131)
S (0.629, 0.369, 0.390)
S (0.629, 0.629, 0.629)
S (0.631, 0.890, 0.871)
S (0.722, 0.778, 0.222)
S (0.778, 0.222, 0.722)
S (0.869, 0.110, 0.371)
S (0.871, 0.371, 0.129)
S (0.871, 0.631, 0.890)
S (0.890, 0.871, 0.631)
S (0.984, 0.516, 0.484)

Output
Energy relative to the elements, uncorrected: -206 meV per atom
Crystal system: cubic
Total magnetization: 0.00 μB/cell
Space group: P2_13